Here is a relaxed structure of CaTlHAu from Alexandria via LeMat-Bulk. Energies are from PBE-GGA.

Geometry as POSCAR:
```
CaTlHAu
1.0
7.152 -1.743 0.000
7.152 1.743 0.000
-0.010 0.000 3.722
Ca Tl H Au
1 1 1 1
direct
0.000 0.000 0.000
0.252 0.252 0.004
0.402 0.402 0.999
0.616 0.616 0.501
```

Output
Crystal system: monoclinic
Total energy: -2.993 eV per atom
Offset from the most stable computed form: 7.3 kJ/mol of atoms